Here is an optimized crystal structure of LiPmEr2Cd4 from Alexandria via LeMat-Bulk. Energies are from GGA-PBE.

Cell: 5.177 5.177 9.137 Å, 73.54 73.54 60.00°
Element x y z (fractional)
Er  0.247  0.247  0.259
Pm  0.000  0.000  0.000
Cd  0.873  0.873  0.382
Er  0.753  0.753  0.741
Li  0.500  0.500  0.500
Cd  0.127  0.127  0.618
Cd  0.384  0.384  0.849
Cd  0.616  0.616  0.151

Values from the calculation:
- calculated formation energy (eV per atom) = -0.26
- crystal system = trigonal

Here is an optimized crystal structure of Li2PmErCd4 from Alexandria via LeMat-Bulk. Energies are from GGA-PBE.

Cell: 5.074 5.074 8.822 Å, 73.29 73.29 60.00°
Element x y z (fractional)
Cd  0.127  0.127  0.619
Cd  0.378  0.378  0.867
Cd  0.873  0.873  0.381
Er  0.500  0.500  0.500
Li  0.751  0.751  0.746
Cd  0.622  0.622  0.133
Li  0.249  0.249  0.254
Pm  0.000  0.000  0.000

Values from the calculation:
- calculated formation energy (eV per atom) = -0.26
- crystal system = trigonal

Here is an optimized crystal structure of Li2PrErCd4 from Alexandria via LeMat-Bulk. Energies are from GGA-PBE.

Cell: 5.099 5.099 8.889 Å, 73.33 73.33 60.00°
Element x y z (fractional)
Cd  0.621  0.621  0.136
Cd  0.128  0.128  0.616
Cd  0.379  0.379  0.864
Li  0.248  0.248  0.256
Pr  0.000  0.000  0.000
Li  0.752  0.752  0.744
Er  0.500  0.500  0.500
Cd  0.872  0.872  0.384

Values from the calculation:
- calculated formation energy (eV per atom) = -0.26
- crystal system = trigonal

Here is an optimized crystal structure of LiErCdRh from Alexandria via LeMat-Bulk. Energies are from GGA-PBE.

Cell: 4.736 4.736 4.736 Å, 60.00 60.00 60.00°
Element x y z (fractional)
Er  0.250  0.250  0.250
Rh  0.500  0.500  0.500
Cd  0.750  0.750  0.750
Li  0.000  0.000  0.000

Values from the calculation:
- calculated formation energy (eV per atom) = -0.45
- crystal system = cubic

Here is an optimized crystal structure of LiErCdRu from Alexandria via LeMat-Bulk. Energies are from GGA-PBE.

Cell: 4.733 4.733 4.733 Å, 60.00 60.00 60.00°
Element x y z (fractional)
Ru  0.750  0.750  0.750
Li  0.250  0.250  0.250
Cd  0.500  0.500  0.500
Er  0.000  0.000  0.000

Values from the calculation:
- calculated formation energy (eV per atom) = -0.13
- crystal system = cubic

Here is an optimized crystal structure of LiErSc2Cd4 from Alexandria via LeMat-Bulk. Energies are from GGA-PBE.

Cell: 5.011 5.011 8.747 Å, 73.36 73.36 60.00°
Element x y z (fractional)
Sc  0.249  0.249  0.252
Cd  0.382  0.382  0.853
Sc  0.751  0.751  0.748
Er  0.000  0.000  0.000
Cd  0.872  0.872  0.383
Cd  0.128  0.128  0.617
Li  0.500  0.500  0.500
Cd  0.618  0.618  0.147

Values from the calculation:
- calculated formation energy (eV per atom) = -0.26
- crystal system = trigonal

Here is an optimized crystal structure of LiErCdSi from Alexandria via LeMat-Bulk. Energies are from GGA-PBE.

Cell: 4.858 4.858 4.858 Å, 60.00 60.00 60.00°
Element x y z (fractional)
Er  0.250  0.250  0.250
Si  0.500  0.500  0.500
Li  0.750  0.750  0.750
Cd  0.000  0.000  0.000

Values from the calculation:
- uncorrected formation energy (eV per atom) = -0.306
- crystal system = cubic

Here is an optimized crystal structure of Li2SmErCd4 from Alexandria via LeMat-Bulk. Energies are from GGA-PBE.

Cell: 5.068 5.068 8.795 Å, 73.26 73.26 60.00°
Element x y z (fractional)
Cd  0.623  0.623  0.131
Sm  0.000  0.000  0.000
Er  0.500  0.500  0.500
Li  0.751  0.751  0.747
Cd  0.127  0.127  0.620
Li  0.249  0.249  0.253
Cd  0.377  0.377  0.869
Cd  0.873  0.873  0.380

Values from the calculation:
- calculated formation energy (eV per atom) = -0.26
- crystal system = trigonal

Here is an optimized crystal structure of LiTbErCd from Alexandria via LeMat-Bulk. Energies are from GGA-PBE.

Cell: 5.247 5.247 5.247 Å, 60.00 60.00 60.00°
Element x y z (fractional)
Er  0.000  0.000  0.000
Cd  0.750  0.750  0.750
Li  0.250  0.250  0.250
Tb  0.500  0.500  0.500

Values from the calculation:
- calculated formation energy (eV per atom) = -0.11
- crystal system = cubic

Here is an optimized crystal structure of Li2Tb2ErCd5 from Alexandria via LeMat-Bulk. Energies are from GGA-PBE.

Cell: 4.146 10.472 10.472 Å, 90.00 90.00 90.00°
Element x y z (fractional)
Tb  0.000  0.179  0.321
Li  0.000  0.115  0.615
Cd  0.500  0.215  0.061
Cd  0.500  0.500  0.000
Li  0.000  0.615  0.885
Cd  0.500  0.285  0.561
Er  0.000  0.000  0.000
Cd  0.500  0.939  0.215
Cd  0.500  0.061  0.785
Tb  0.000  0.679  0.179
Cd  0.500  0.439  0.285
Cd  0.500  0.000  0.500
Li  0.000  0.385  0.115
Cd  0.500  0.715  0.439
Cd  0.500  0.561  0.715
Er  0.000  0.500  0.500
Tb  0.000  0.321  0.821
Tb  0.000  0.821  0.679
Li  0.000  0.885  0.385
Cd  0.500  0.785  0.939

Values from the calculation:
- calculated formation energy (eV per atom) = -0.27
- crystal system = tetragonal

Here is an optimized crystal structure of LiErThCd from Alexandria via LeMat-Bulk. Energies are from GGA-PBE.

Cell: 5.300 5.300 5.300 Å, 60.00 60.00 60.00°
Element x y z (fractional)
Cd  0.750  0.750  0.750
Li  0.250  0.250  0.250
Er  0.000  0.000  0.000
Th  0.500  0.500  0.500

Values from the calculation:
- calculated formation energy (eV per atom) = 0.02
- crystal system = cubic

Here is an optimized crystal structure of LiErTmCd from Alexandria via LeMat-Bulk. Energies are from GGA-PBE.

Cell: 5.205 5.205 5.205 Å, 60.00 60.00 60.00°
Element x y z (fractional)
Tm  0.000  0.000  0.000
Li  0.250  0.250  0.250
Cd  0.750  0.750  0.750
Er  0.500  0.500  0.500

Values from the calculation:
- calculated formation energy (eV per atom) = -0.11
- crystal system = cubic

Here is an optimized crystal structure of Li2Er2TmCd5 from Alexandria via LeMat-Bulk. Energies are from GGA-PBE.

Cell: 4.154 10.362 10.362 Å, 90.00 90.00 90.00°
Element x y z (fractional)
Cd  0.500  0.715  0.438
Li  0.000  0.885  0.385
Cd  0.500  0.438  0.285
Cd  0.500  0.938  0.215
Tm  0.000  0.000  0.000
Cd  0.500  0.285  0.562
Cd  0.500  0.215  0.062
Er  0.000  0.321  0.821
Li  0.000  0.115  0.615
Cd  0.500  0.000  0.500
Li  0.000  0.615  0.885
Li  0.000  0.385  0.115
Er  0.000  0.179  0.321
Tm  0.000  0.500  0.500
Cd  0.500  0.062  0.785
Cd  0.500  0.562  0.715
Er  0.000  0.821  0.679
Er  0.000  0.679  0.179
Cd  0.500  0.785  0.938
Cd  0.500  0.500  0.000

Values from the calculation:
- calculated formation energy (eV per atom) = -0.25
- crystal system = tetragonal

Here is an optimized crystal structure of LiY2ErCd4 from Alexandria via LeMat-Bulk. Energies are from GGA-PBE.

Cell: 5.194 5.194 8.994 Å, 73.22 73.22 60.00°
Element x y z (fractional)
Li  0.500  0.500  0.500
Er  0.000  0.000  0.000
Cd  0.874  0.874  0.378
Y  0.249  0.249  0.254
Cd  0.378  0.378  0.866
Cd  0.622  0.622  0.134
Cd  0.126  0.126  0.622
Y  0.751  0.751  0.746

Values from the calculation:
- calculated formation energy (eV per atom) = -0.30
- crystal system = trigonal

Here is an optimized crystal structure of Li2YErCd4 from Alexandria via LeMat-Bulk. Energies are from GGA-PBE.

Cell: 5.041 5.041 8.723 Å, 73.20 73.20 60.00°
Element x y z (fractional)
Li  0.750  0.750  0.750
Er  0.500  0.500  0.500
Cd  0.624  0.624  0.127
Cd  0.376  0.376  0.873
Li  0.250  0.250  0.250
Cd  0.126  0.126  0.623
Cd  0.874  0.874  0.377
Y  0.000  0.000  0.000

Values from the calculation:
- calculated formation energy (eV per atom) = -0.26
- crystal system = trigonal

Here is an optimized crystal structure of LiYErCd from Alexandria via LeMat-Bulk. Energies are from GGA-PBE.

Cell: 5.245 5.245 5.245 Å, 60.00 60.00 60.00°
Element x y z (fractional)
Er  0.250  0.250  0.250
Y  0.750  0.750  0.750
Li  0.500  0.500  0.500
Cd  0.000  0.000  0.000

Values from the calculation:
- calculated formation energy (eV per atom) = -0.13
- crystal system = cubic

Here is an optimized crystal structure of LiYEr2Cd4 from Alexandria via LeMat-Bulk. Energies are from GGA-PBE.

Cell: 5.173 5.173 8.994 Å, 73.29 73.29 60.00°
Element x y z (fractional)
Cd  0.620  0.620  0.139
Y  0.000  0.000  0.000
Cd  0.380  0.380  0.861
Er  0.751  0.751  0.746
Li  0.500  0.500  0.500
Cd  0.127  0.127  0.620
Er  0.249  0.249  0.254
Cd  0.873  0.873  0.380

Values from the calculation:
- calculated formation energy (eV per atom) = -0.28
- crystal system = trigonal

Here is an optimized crystal structure of LiErZnCd from Alexandria via LeMat-Bulk. Energies are from GGA-PBE.

Cell: 4.771 4.771 4.771 Å, 60.00 60.00 60.00°
Element x y z (fractional)
Li  0.500  0.500  0.500
Zn  0.000  0.000  0.000
Er  0.250  0.250  0.250
Cd  0.750  0.750  0.750

Values from the calculation:
- calculated formation energy (eV per atom) = -0.27
- crystal system = cubic

Here is an optimized crystal structure of ErLuCd4 from Alexandria via LeMat-Bulk. Energies are from GGA-PBE.

Cell: 5.863 5.863 5.863 Å, 60.00 60.00 60.00°
Element x y z (fractional)
Cd  0.625  0.625  0.625
Cd  0.625  0.625  0.125
Cd  0.125  0.625  0.625
Lu  0.000  0.000  0.000
Cd  0.625  0.125  0.625
Er  0.250  0.250  0.250

Values from the calculation:
- calculated formation energy (eV per atom) = -0.21
- crystal system = cubic

Here is an optimized crystal structure of ErLuCd from Alexandria via LeMat-Bulk. Energies are from GGA-PBE.

Cell: 3.463 5.204 5.204 Å, 120.00 90.00 90.00°
Element x y z (fractional)
Cd  0.687  0.667  0.333
Lu  0.933  0.000  0.000
Er  0.380  0.333  0.667

Values from the calculation:
- calculated formation energy (eV per atom) = -0.07
- crystal system = trigonal
- polymorph energy (0 for the lowest one) (meV/atom) = 117

Here is an optimized crystal structure of ErLuCd from Alexandria via LeMat-Bulk. Energies are from GGA-PBE.

Cell: 3.524 3.524 6.987 Å, 104.61 104.61 90.00°
Site moments in Bohr magnetons follow the coordinates.
Element x y z (fractional)
Er  0.608  0.608  0.217  0.40
Cd  0.948  0.948  0.897  0.02
Lu  0.293  0.293  0.586  0.32

Values from the calculation:
- calculated formation energy (eV per atom) = -0.18
- crystal system = tetragonal
- polymorph energy (0 for the lowest one) (meV/atom) = 0

Here is an optimized crystal structure of ErLuMnCd from Alexandria via LeMat-Bulk. Energies are from GGA-PBE.

Cell: 5.089 5.089 5.089 Å, 60.00 60.00 60.00°
Site moments in Bohr magnetons follow the coordinates.
Element x y z (fractional)
Mn  0.750  0.750  0.750  -3.51
Er  0.000  0.000  0.000  0.22
Cd  0.250  0.250  0.250  0.03
Lu  0.500  0.500  0.500  0.20

Values from the calculation:
- calculated formation energy (eV per atom) = -0.02
- crystal system = cubic

Here is an optimized crystal structure of ErLuCdOs from Alexandria via LeMat-Bulk. Energies are from GGA-PBE.

Cell: 4.942 4.942 4.942 Å, 60.00 60.00 60.00°
Element x y z (fractional)
Lu  0.000  0.000  0.000
Os  0.250  0.250  0.250
Cd  0.750  0.750  0.750
Er  0.500  0.500  0.500

Values from the calculation:
- calculated formation energy (eV per atom) = -0.27
- crystal system = cubic

Here is an optimized crystal structure of PrErLuCd from Alexandria via LeMat-Bulk. Energies are from GGA-PBE.

Cell: 5.472 5.472 5.472 Å, 60.00 60.00 60.00°
Element x y z (fractional)
Cd  0.000  0.000  0.000
Pr  0.750  0.750  0.750
Er  0.250  0.250  0.250
Lu  0.500  0.500  0.500

Values from the calculation:
- calculated formation energy (eV per atom) = -0.04
- crystal system = cubic

Here is an optimized crystal structure of ErLuPuCd from Alexandria via LeMat-Bulk. Energies are from GGA-PBE.

Cell: 5.341 5.341 5.341 Å, 60.00 60.00 60.00°
Site moments in Bohr magnetons follow the coordinates.
Element x y z (fractional)
Cd  0.000  0.000  0.000  -0.02
Pu  0.500  0.500  0.500  5.65
Er  0.750  0.750  0.750  0.35
Lu  0.250  0.250  0.250  0.29

Values from the calculation:
- calculated formation energy (eV per atom) = 0.08
- crystal system = cubic

Here is an optimized crystal structure of ErLuCdRh from Alexandria via LeMat-Bulk. Energies are from GGA-PBE.

Cell: 4.979 4.979 4.979 Å, 60.00 60.00 60.00°
Element x y z (fractional)
Cd  0.750  0.750  0.750
Rh  0.250  0.250  0.250
Er  0.500  0.500  0.500
Lu  0.000  0.000  0.000

Values from the calculation:
- calculated formation energy (eV per atom) = -0.56
- crystal system = cubic

Here is an optimized crystal structure of ErLuCdRu from Alexandria via LeMat-Bulk. Energies are from GGA-PBE.

Cell: 4.959 4.959 4.959 Å, 60.00 60.00 60.00°
Element x y z (fractional)
Ru  0.750  0.750  0.750
Cd  0.250  0.250  0.250
Er  0.000  0.000  0.000
Lu  0.500  0.500  0.500

Values from the calculation:
- calculated formation energy (eV per atom) = -0.33
- crystal system = cubic